PBE-GGA Sr2Tc2As, relaxed; formation energy from the elements = 0.594 eV per atom; polymorph energy (0 for the lowest one) = 586.8 meV/atom
1.0
6.172 0.000 0.000
0.000 6.172 0.000
0.000 0.000 7.228
Sr Tc As
4 4 2
direct
0.000 0.500 0.250
0.000 0.500 0.750
0.500 0.000 0.250
0.500 0.000 0.750
0.000 0.000 0.154
0.000 0.000 0.846
0.500 0.500 0.346
0.500 0.500 0.654
0.000 0.000 0.500
0.500 0.500 0.000



PBE-GGA TeCCl2, relaxed; polymorph energy (0 for the lowest one) = 729.2 meV/atom
1.0
6.828 0.000 0.000
0.000 6.828 0.000
0.000 0.000 6.828
Te C Cl
4 4 8
direct
0.000 0.000 0.000
0.000 0.500 0.500
0.500 0.000 0.500
0.500 0.500 0.000
0.000 0.000 0.500
0.000 0.500 0.000
0.500 0.000 0.000
0.500 0.500 0.500
0.250 0.250 0.250
0.250 0.250 0.750
0.250 0.750 0.250
0.250 0.750 0.750
0.750 0.250 0.250
0.750 0.250 0.750
0.750 0.750 0.250
0.750 0.750 0.750



PBE-GGA AlNi2W, relaxed; formation energy from the elements = 0.019 eV per atom
1.0
2.810 0.000 0.000
0.000 4.244 0.000
0.000 0.000 4.433
Al Ni W
1 2 1
direct
0.000 0.000 0.000
0.000 0.500 0.500
0.500 0.500 0.000
0.500 0.000 0.500



PBE-GGA TaTl2As, relaxed; formation energy from the elements = 0.262 eV per atom; polymorph energy (0 for the lowest one) = 165.5 meV/atom
1.0
4.738 0.000 0.000
0.000 3.528 0.000
-2.360 0.000 5.741
Ta Tl As
1 2 1
direct
0.000 0.000 0.000
0.436 0.500 0.871
0.739 0.000 0.476
0.159 0.500 0.317



| no. | size of the total moment (μB per cell) |
| --- | --- |
| 1 | 3.73 |
| 2 | 4.72 |
| 3 | 0.00 |
| 4 | 0.00 |